# 1
The following is a DFT calculation (PBE-GGA) of crystalline FeNiPd3 at its relaxed geometry.

Structure (POSCAR):
```
FeNiPd3
1.0
7.312 0.000 0.000
0.000 9.666 0.000
0.000 0.000 4.230
Fe Ni Pd
4 4 12
Direct
0.000 0.000 0.000
0.000 0.500 0.000
0.500 0.000 0.500
0.500 0.500 0.500
0.167 0.250 0.495
0.333 0.750 0.995
0.667 0.250 0.005
0.833 0.750 0.505
0.001 0.250 0.995
0.166 0.592 0.501
0.166 0.908 0.501
0.334 0.092 0.001
0.334 0.408 0.001
0.499 0.750 0.495
0.501 0.250 0.505
0.666 0.592 0.999
0.666 0.908 0.999
0.834 0.092 0.499
0.834 0.408 0.499
0.999 0.750 0.005
```

## Properties
As for the formation energy: 0.17 eV/atom. Its electronic total energy is -5.795 eV/atom. The value obtained for the energy above the most stable polymorph in this dataset is 0 meV per atom. As for the total magnetic moment: 1.004 μB/atom. For the volume, the calculation gives 298.96 Å³ per cell.

# 2
The following is a DFT calculation (PBE-GGA) of crystalline BeRhF3 at its relaxed geometry.

Structure (POSCAR):
```
BeRhF3
1.0
3.684 0.000 0.000
0.000 3.684 0.000
0.000 0.000 3.684
Be Rh F
1 1 3
Direct
0.000 0.000 0.000
0.500 0.500 0.500
0.000 0.000 0.500
0.000 0.500 0.000
0.500 0.000 0.000
```

## Properties
Its electronic total energy is -4.812 eV/atom. The value obtained for the energy above the most stable polymorph in this dataset is 0 meV per atom. As for the total magnetic moment: 0.400 μB/atom. For the volume, the calculation gives 49.98 Å³ per cell.

# 3
The following is a DFT calculation (PBE-GGA) of crystalline Ca2Y2I at its relaxed geometry.

Structure (POSCAR):
```
Ca2Y2I
1.0
8.004 0.000 0.000
0.000 8.004 0.000
0.000 0.000 5.936
Ca Y I
4 4 2
Direct
0.153 0.347 0.000
0.347 0.847 0.000
0.653 0.153 0.000
0.847 0.653 0.000
0.149 0.649 0.500
0.351 0.149 0.500
0.649 0.851 0.500
0.851 0.351 0.500
0.000 0.000 0.500
0.500 0.500 0.500
```

## Properties
Its electronic total energy is -3.813 eV/atom. As for the total magnetic moment: 0.000 μB/atom. For the volume, the calculation gives 380.34 Å³ per cell.

# 4
The following is a DFT calculation (PBE-GGA) of crystalline La5Mg2Co2 at its relaxed geometry.

Structure (POSCAR):
```
La5Mg2Co2
1.0
0.000 3.938 8.317
3.840 0.000 8.317
3.840 3.938 0.000
La Mg Co
5 2 2
Direct
0.000 0.000 0.000
0.120 0.120 0.380
0.380 0.380 0.120
0.620 0.620 0.880
0.880 0.880 0.620
0.244 0.244 0.756
0.756 0.756 0.244
0.342 0.658 0.658
0.658 0.342 0.342
```

## Properties
As for the formation energy: 0.00 eV/atom. Its electronic total energy is -4.666 eV/atom. As for the total magnetic moment: 0.000 μB/atom. For the volume, the calculation gives 251.52 Å³ per cell.